Below is a relaxed Cd3InBi crystal, with properties calculated at the PBE level.

Values from the calculation:
- Calculated volume: 530.6 Å³ per cell
- Fermi-level density of states: 0.35 states/eV per atom
- Energy above the lowest structure with this stoichiometry: 16.3 meV per atom
- Calculated density: 8.276 g/cm3
- Energy relative to the elements: 0.07 eV per atom

a = 15.4803 Å, b = 5.3572 Å, c = 6.5388 Å
α = 90.00°, β = 101.93°, γ = 90.00°
Last column: nearest neighbours and their distance in Å.
Space group C2/m (No. 12)
Symmetry-distinct sites (fractional):
Cd 0.0144 0.0000 0.2786  4 Cd 3.02-3.17, 2 Bi 3.20-3.35, 2 In 3.29
Cd 0.0932 0.5000 0.1760  4 Cd 3.07-3.30, 3 In 3.24-3.38, 2 Bi 3.26
Cd 0.2106 0.0000 0.5420  4 Cd 3.04-3.21, 2 Bi 3.24-3.37, 2 In 3.36
In 0.1037 0.5000 0.6763  8 Cd 3.24-3.46, 3 Bi 3.52-3.55, 1 In 3.54
Bi 0.1788 0.0000 0.0161  6 Cd 3.20-3.37, 2 Bi 3.50, 3 In 3.52-3.55

Below is a relaxed LaNd4Tm3Se8 crystal, with properties calculated at the PBE level.

Values from the calculation:
- Calculated volume: 1226.8 Å³ per cell
- ΔE_f (raw): -172 kJ per mole of atoms
- Fermi-level density of states: 0.55 states/eV per atom
- Calculated density: 7.530 g/cm3

a = 8.2590 Å, b = 8.2590 Å, c = 20.7670 Å
α = 90.00°, β = 90.00°, γ = 120.00°
Last column: nearest neighbours and their distance in Å.
Space group R-3m (No. 166, hexagonal axes)
Symmetry-distinct sites (fractional):
La 0.0000 0.0000 0.0000  6 Se 2.96
Nd 0.0000 0.0000 0.5000  6 Se 2.94
Nd 0.0000 0.5000 0.5000  6 Se 3.03-3.04
Tm 0.0000 0.5000 0.0000  6 Se 2.86
Se 0.0000 0.0000 0.2570  3 Tm 2.86, 3 Nd 3.03
Se 0.0115 0.5057 0.2545  2 Tm 2.86, 3 Nd 2.94-3.04, 1 La 2.96

- Number 1 is which compound?
  Cd3InBi

- What is the calculated volume in the second record?
  1226.8 Å³ per cell